Below is crystalline TcAgMo2 at its relaxed geometry, with properties calculated at the PBE-GGA level.

Cell lengths 5.1636, 5.1636, 5.1636 Å; angles 142.22, 129.94, 64.38 degrees
Atoms (fractional coordinates):
Ag 0.2500 0.7500 0.5000
Mo 0.9805 0.9805 0.0000
Mo 0.5195 0.5195 0.0000
Tc 0.7500 0.2500 0.5000

Energy relative to the lowest polymorph listed for this composition, eV/f.u.: 0.616
Space-group type: No. 71
Mass density, g cm⁻³: 10.3



Below is crystalline PmPr5Ga2 at its relaxed geometry, with properties calculated at the PBE-GGA level.

Cell lengths 4.4046, 7.8566, 7.8566 Å; angles 79.42, 73.72, 73.72 degrees
Atoms (fractional coordinates):
Pm 0.0000 0.0000 0.0000
Pr 0.0000 0.5000 0.5000
Pr 0.6507 0.5503 0.1482
Pr 0.3493 0.4497 0.8518
Pr 0.3493 0.8518 0.4497
Pr 0.6507 0.1482 0.5503
Ga 0.7143 0.7857 0.7857
Ga 0.2857 0.2143 0.2143

Space-group type: No. 71
Mass density, g cm⁻³: 6.6



Below is crystalline InGa2Ag9 at its relaxed geometry, with properties calculated at the PBE-GGA level.

Cell lengths 4.2189, 4.2189, 12.1047 Å; angles 90.00, 90.00, 90.00 degrees
Atoms (fractional coordinates):
In 0.0000 0.0000 0.0000
Ga 0.0000 0.0000 0.3357
Ga 0.0000 0.0000 0.6643
Ag 0.5000 0.5000 0.0000
Ag 0.5000 0.5000 0.3378
Ag 0.5000 0.5000 0.6622
Ag 0.5000 0.0000 0.1744
Ag 0.5000 0.0000 0.5000
Ag 0.5000 0.0000 0.8256
Ag 0.0000 0.5000 0.1744
Ag 0.0000 0.5000 0.5000
Ag 0.0000 0.5000 0.8256

Space-group type: No. 123
Mass density, g cm⁻³: 9.4



For the records above, the corresponding DOS at the Fermi energy values read 2.7, 9.9, 5.5 states/eV/cell.
For the records above, the corresponding total energy values read -8.291, -4.499, -2.862 eV/atom.